DFT (PBE) results for an optimized crystal structure of Ac2CuNi12P3.

```
Ac2CuNi12P3
1.0
-4.119 0.322 5.949
1.909 -4.485 5.357
3.075 3.148 5.752
Ac Cu Ni P
2 1 12 3
Direct
0.619 0.619 0.619
0.381 0.381 0.381
0.000 0.000 0.000
0.335 0.335 0.902
0.885 0.885 0.363
0.363 0.885 0.885
0.902 0.335 0.335
0.885 0.363 0.885
0.335 0.902 0.335
0.665 0.665 0.098
0.115 0.115 0.637
0.637 0.115 0.115
0.098 0.665 0.665
0.115 0.637 0.115
0.665 0.098 0.665
0.500 0.000 0.000
0.000 0.500 0.000
0.000 0.000 0.500
```

Properties
Formation enthalpy at 0 K (eV/atom): -0.0496
N(E_F) (states/eV/cell): 9.830
Raw total energy (Ry per atom): -0.4035